--- w ---
{
  "formula": "HfCoAsPt",
  "functional": "GGA-PBE",
  "state": "relaxed",
  "lattice_angstrom": [[1.433, -4.197, -0.749], [-2.881, -3.135, -1.450], [0.301, -1.556, -4.210]],
  "species": ["Hf", "Co", "Pt", "As"],
  "fractional_positions": [[0.250, 0.250, 0.250], [0.750, 0.750, 0.750], [0.500, 0.500, 0.500], [0.000, 0.000, 0.000]],
  "rho_g_cm3": 13.1,
  "spacegroup": "F-43m (216)"
}

=====

--- x ---
{
  "formula": "HfCoAsPt",
  "functional": "GGA-PBE",
  "state": "relaxed",
  "lattice_angstrom": [[0.000, 3.174, 3.174], [3.174, 0.000, 3.174], [3.174, 3.174, 0.000]],
  "species": ["Pt", "Hf", "Co", "As"],
  "fractional_positions": [[0.250, 0.250, 0.250], [0.500, 0.500, 0.500], [0.750, 0.750, 0.750], [0.000, 0.000, 0.000]],
  "rho_g_cm3": 13.2,
  "spacegroup": "F-43m (216)"
}

=====

Name the least stable of them. x.

=====

--- w ---
{
  "formula": "HfCoReAs",
  "functional": "GGA-PBE",
  "state": "relaxed",
  "lattice_angstrom": [[-3.574, -2.699, 0.120], [-3.546, 0.861, -2.599], [-0.918, -2.658, -3.488]],
  "species": ["Re", "Co", "Hf", "As"],
  "fractional_positions": [[0.500, 0.500, 0.500], [0.750, 0.750, 0.750], [0.250, 0.250, 0.250], [0.000, 0.000, 0.000]],
  "rho_g_cm3": 13.0,
  "spacegroup": "F-43m (216)"
}

=====

--- x ---
{
  "formula": "HfCoReAs",
  "functional": "GGA-PBE",
  "state": "relaxed",
  "lattice_angstrom": [[0.000, 3.118, 3.118], [3.118, 0.000, 3.118], [3.118, 3.118, 0.000]],
  "species": ["Re", "Hf", "Co", "As"],
  "fractional_positions": [[0.250, 0.250, 0.250], [0.500, 0.500, 0.500], [0.750, 0.750, 0.750], [0.000, 0.000, 0.000]],
  "rho_g_cm3": 13.7,
  "spacegroup": "F-43m (216)"
}

=====

Name the least stable of them. w.

=====

--- w ---
{
  "formula": "HfCoTcAs",
  "functional": "GGA-PBE",
  "state": "relaxed",
  "lattice_angstrom": [[0.000, 3.097, 3.097], [3.097, 0.000, 3.097], [3.097, 3.097, 0.000]],
  "species": ["Co", "As", "Tc", "Hf"],
  "fractional_positions": [[0.750, 0.750, 0.750], [0.000, 0.000, 0.000], [0.250, 0.250, 0.250], [0.500, 0.500, 0.500]],
  "rho_g_cm3": 11.5,
  "spacegroup": "F-43m (216)"
}

=====

--- x ---
{
  "formula": "HfCoTcAs",
  "functional": "GGA-PBE",
  "state": "relaxed",
  "lattice_angstrom": [[1.339, 1.345, 4.045], [-1.925, -1.682, 3.664], [2.280, -2.791, 2.641]],
  "species": ["Hf", "As", "Co", "Tc"],
  "fractional_positions": [[0.250, 0.250, 0.250], [0.000, 0.000, 0.000], [0.750, 0.750, 0.750], [0.500, 0.500, 0.500]],
  "rho_g_cm3": 10.8,
  "spacegroup": "F-43m (216)"
}

=====

Name the least stable of them. x.

=====

--- w ---
{
  "formula": "TaCoHgAs",
  "functional": "GGA-PBE",
  "state": "relaxed",
  "lattice_angstrom": [[0.000, 3.255, 3.255], [3.255, 0.000, 3.255], [3.255, 3.255, 0.000]],
  "species": ["Hg", "Ta", "Co", "As"],
  "fractional_positions": [[0.250, 0.250, 0.250], [0.500, 0.500, 0.500], [0.750, 0.750, 0.750], [0.000, 0.000, 0.000]],
  "rho_g_cm3": 12.4,
  "spacegroup": "F-43m (216)"
}

=====

--- x ---
{
  "formula": "TaCoHgAs",
  "functional": "GGA-PBE",
  "state": "relaxed",
  "lattice_angstrom": [[0.204, 0.475, 4.503], [1.362, 3.929, 1.805], [-2.979, 2.667, 2.135]],
  "species": ["Ta", "As", "Co", "Hg"],
  "fractional_positions": [[0.250, 0.250, 0.250], [0.000, 0.000, 0.000], [0.750, 0.750, 0.750], [0.500, 0.500, 0.500]],
  "rho_g_cm3": 13.0,
  "spacegroup": "F-43m (216)"
}

=====

Name the least stable of them. w.

=====

--- w ---
{
  "formula": "CoHgAsW",
  "functional": "GGA-PBE",
  "state": "relaxed",
  "lattice_angstrom": [[-2.685, -2.708, 2.515], [-4.474, -0.243, -0.889], [-1.763, -3.799, -1.824]],
  "species": ["As", "W", "Co", "Hg"],
  "fractional_positions": [[0.000, 0.000, 0.000], [0.500, 0.500, 0.500], [0.750, 0.750, 0.750], [0.250, 0.250, 0.250]],
  "rho_g_cm3": 12.8,
  "spacegroup": "F-43m (216)"
}

=====

--- x ---
{
  "formula": "CoHgAsW",
  "functional": "GGA-PBE",
  "state": "relaxed",
  "lattice_angstrom": [[0.000, 3.156, 3.156], [3.156, 0.000, 3.156], [3.156, 3.156, 0.000]],
  "species": ["W", "Co", "As", "Hg"],
  "fractional_positions": [[0.250, 0.250, 0.250], [0.750, 0.750, 0.750], [0.000, 0.000, 0.000], [0.500, 0.500, 0.500]],
  "rho_g_cm3": 13.7,
  "spacegroup": "F-43m (216)"
}

=====

Name the least stable of them. w.

=====

--- w ---
{
  "formula": "LuCoAsIr",
  "functional": "GGA-PBE",
  "state": "relaxed",
  "lattice_angstrom": [[0.000, 3.184, 3.184], [3.184, 0.000, 3.184], [3.184, 3.184, 0.000]],
  "species": ["Co", "As", "Lu", "Ir"],
  "fractional_positions": [[0.750, 0.750, 0.750], [0.000, 0.000, 0.000], [0.500, 0.500, 0.500], [0.250, 0.250, 0.250]],
  "rho_g_cm3": 12.9,
  "spacegroup": "F-43m (216)"
}

=====

--- x ---
{
  "formula": "LuCoAsIr",
  "functional": "GGA-PBE",
  "state": "relaxed",
  "lattice_angstrom": [[0.000, 3.231, 3.231], [3.231, 0.000, 3.231], [3.231, 3.231, 0.000]],
  "species": ["Co", "As", "Lu", "Ir"],
  "fractional_positions": [[0.750, 0.750, 0.750], [0.000, 0.000, 0.000], [0.250, 0.250, 0.250], [0.500, 0.500, 0.500]],
  "rho_g_cm3": 12.3,
  "spacegroup": "F-43m (216)"
}

=====

Name the least stable of them. x.